This record from the Alexandria database describes a relaxed structure of Li2Pm3Hg4. The functional is GGA-PBE. Values from VASP.

Geometry as Quantum ESPRESSO input:
```
&SYSTEM
  ibrav = 0, nat = 9, ntyp = 3
/
ATOMIC_SPECIES
Li 6.94 Li.upf
Pm 145.00 Pm.upf
Hg 200.59 Hg.upf
ATOMIC_POSITIONS crystal
Li 0.227 0.227 0.394
Li 0.773 0.773 0.606
Pm 0.121 0.121 0.728
Pm 0.500 0.500 0.000
Pm 0.879 0.879 0.272
Hg 0.191 0.191 0.092
Hg 0.433 0.433 0.638
Hg 0.567 0.567 0.362
Hg 0.809 0.809 0.908
CELL_PARAMETERS angstrom
4.705 -2.623 0.000
4.705 2.623 0.000
-1.771 0.000 8.976
```

Calculated values
- Polymorph energy (0 for the lowest one): 0.00 eV/f.u.
- Energy relative to the elements: -0.40 eV/atom
- DOS(E_F): 6.491 states/eV per cell

***

This record from the Alexandria database describes a relaxed structure of Li3PmHg4. The functional is GGA-PBE. Values from VASP.

Geometry as Quantum ESPRESSO input:
```
&SYSTEM
  ibrav = 0, nat = 8, ntyp = 3
/
ATOMIC_SPECIES
Li 6.94 Li.upf
Pm 145.00 Pm.upf
Hg 200.59 Hg.upf
ATOMIC_POSITIONS crystal
Li 0.000 0.000 0.000
Li 0.261 0.261 0.261
Li 0.739 0.739 0.739
Pm 0.500 0.500 0.500
Hg 0.108 0.108 0.108
Hg 0.372 0.372 0.372
Hg 0.628 0.628 0.628
Hg 0.892 0.892 0.892
CELL_PARAMETERS angstrom
2.381 1.375 8.658
-2.381 1.375 8.658
0.000 -2.749 8.658
```

Calculated values
- Energy relative to the elements: -0.38 eV/atom
- DOS(E_F): 4.488 states/eV per cell

***

This record from the Alexandria database describes a relaxed structure of Li4Pm3Hg4. The functional is GGA-PBE. Values from VASP.

Geometry as Quantum ESPRESSO input:
```
&SYSTEM
  ibrav = 0, nat = 11, ntyp = 3
/
ATOMIC_SPECIES
Li 6.94 Li.upf
Pm 145.00 Pm.upf
Hg 200.59 Hg.upf
ATOMIC_POSITIONS crystal
Li 0.009 0.822 0.186
Li 0.364 0.178 0.186
Li 0.636 0.822 0.814
Li 0.991 0.178 0.814
Pm 0.000 0.500 0.500
Pm 0.383 0.383 0.000
Pm 0.617 0.617 0.000
Hg 0.224 0.724 0.500
Hg 0.297 0.000 0.297
Hg 0.703 0.000 0.703
Hg 0.776 0.276 0.500
CELL_PARAMETERS angstrom
-2.301 3.877 7.261
2.301 -3.877 7.261
2.301 3.877 -7.261
```

Calculated values
- Polymorph energy (0 for the lowest one): 0.00 eV/f.u.
- Energy relative to the elements: -0.34 eV/atom
- DOS(E_F): 8.591 states/eV per cell

***

This record from the Alexandria database describes a relaxed structure of Li2PmHg. The functional is GGA-PBE. Values from VASP.

Geometry as Quantum ESPRESSO input:
```
&SYSTEM
  ibrav = 0, nat = 8, ntyp = 3
/
ATOMIC_SPECIES
Li 6.94 Li.upf
Pm 145.00 Pm.upf
Hg 200.59 Hg.upf
ATOMIC_POSITIONS crystal
Li 0.031 0.969 0.750
Li 0.242 0.758 0.250
Li 0.758 0.242 0.750
Li 0.969 0.031 0.250
Pm 0.390 0.610 0.750
Pm 0.610 0.390 0.250
Hg 0.161 0.839 0.750
Hg 0.839 0.161 0.250
CELL_PARAMETERS angstrom
1.776 -11.147 0.000
1.776 11.147 0.000
0.000 0.000 4.817
```

Calculated values
- Polymorph energy (0 for the lowest one): 0.12 eV/f.u.
- Energy relative to the elements: -0.20 eV/atom
- DOS(E_F): 6.165 states/eV per cell

***

This record from the Alexandria database describes a relaxed structure of Li2PmHg. The functional is GGA-PBE. Values from VASP.

Geometry as Quantum ESPRESSO input:
```
&SYSTEM
  ibrav = 0, nat = 4, ntyp = 3
/
ATOMIC_SPECIES
Li 6.94 Li.upf
Pm 145.00 Pm.upf
Hg 200.59 Hg.upf
ATOMIC_POSITIONS crystal
Li 0.000 0.500 0.000
Li 0.500 0.000 0.000
Pm 0.000 0.000 0.500
Hg 0.500 0.500 0.500
CELL_PARAMETERS angstrom
4.427 0.000 0.000
0.000 4.427 0.000
0.000 0.000 5.034
```

Calculated values
- Polymorph energy (0 for the lowest one): 0.59 eV/f.u.
- Energy relative to the elements: -0.09 eV/atom
- DOS(E_F): 5.288 states/eV per cell

***

This record from the Alexandria database describes a relaxed structure of LiPmHg6. The functional is GGA-PBE. Values from VASP.

Geometry as Quantum ESPRESSO input:
```
&SYSTEM
  ibrav = 0, nat = 8, ntyp = 3
/
ATOMIC_SPECIES
Li 6.94 Li.upf
Pm 145.00 Pm.upf
Hg 200.59 Hg.upf
ATOMIC_POSITIONS crystal
Li 0.000 0.000 0.000
Pm 0.500 0.670 0.670
Hg 0.000 0.012 0.497
Hg 0.000 0.497 0.012
Hg 0.000 0.498 0.498
Hg 0.500 0.164 0.164
Hg 0.500 0.165 0.679
Hg 0.500 0.679 0.165
CELL_PARAMETERS angstrom
5.068 0.000 0.000
0.000 3.322 5.740
0.000 -3.322 5.740
```

Calculated values
- Energy relative to the elements: -0.27 eV/atom
- DOS(E_F): 3.180 states/eV per cell

***

This record from the Alexandria database describes a relaxed structure of LiPm2Hg7. The functional is GGA-PBE. Values from VASP.

Geometry as Quantum ESPRESSO input:
```
&SYSTEM
  ibrav = 0, nat = 10, ntyp = 3
/
ATOMIC_SPECIES
Li 6.94 Li.upf
Pm 145.00 Pm.upf
Hg 200.59 Hg.upf
ATOMIC_POSITIONS crystal
Li 0.000 0.000 0.000
Pm 0.333 0.667 0.794
Pm 0.667 0.333 0.449
Hg 0.000 0.000 0.337
Hg 0.000 0.000 0.656
Hg 0.333 0.667 0.051
Hg 0.333 0.667 0.294
Hg 0.333 0.667 0.550
Hg 0.667 0.333 0.167
Hg 0.667 0.333 0.910
CELL_PARAMETERS angstrom
4.950 0.000 0.000
-2.475 4.287 0.000
0.000 0.000 12.192
```

Calculated values
- Energy relative to the elements: -0.26 eV/atom
- DOS(E_F): 6.397 states/eV per cell

***

This record from the Alexandria database describes a relaxed structure of Li3Pm2Hg2. The functional is GGA-PBE. Values from VASP.

Geometry as Quantum ESPRESSO input:
```
&SYSTEM
  ibrav = 0, nat = 7, ntyp = 3
/
ATOMIC_SPECIES
Li 6.94 Li.upf
Pm 145.00 Pm.upf
Hg 200.59 Hg.upf
ATOMIC_POSITIONS crystal
Li 0.000 0.000 0.000
Li 0.120 0.120 0.431
Li 0.880 0.880 0.569
Pm 0.356 0.356 0.226
Pm 0.644 0.644 0.774
Hg 0.351 0.351 0.772
Hg 0.649 0.649 0.228
CELL_PARAMETERS angstrom
5.337 -2.374 0.000
5.337 2.374 0.000
-2.504 0.000 6.525
```

Calculated values
- Energy relative to the elements: -0.28 eV/atom
- DOS(E_F): 6.356 states/eV per cell

***

This record from the Alexandria database describes a relaxed structure of Li2PmHg. The functional is GGA-PBE. Values from VASP.

Geometry as Quantum ESPRESSO input:
```
&SYSTEM
  ibrav = 0, nat = 4, ntyp = 3
/
ATOMIC_SPECIES
Li 6.94 Li.upf
Pm 145.00 Pm.upf
Hg 200.59 Hg.upf
ATOMIC_POSITIONS crystal
Li 0.000 0.000 0.000
Li 0.251 0.251 0.251
Pm 0.750 0.750 0.750
Hg 0.501 0.501 0.501
CELL_PARAMETERS angstrom
2.528 1.460 4.137
-2.528 1.460 4.137
0.000 -2.920 4.137
```

Calculated values
- Polymorph energy (0 for the lowest one): 0.11 eV/f.u.
- Energy relative to the elements: -0.21 eV/atom
- DOS(E_F): 4.933 states/eV per cell

***

This record from the Alexandria database describes a relaxed structure of LiPmHg. The functional is GGA-PBE. Values from VASP.

Geometry as Quantum ESPRESSO input:
```
&SYSTEM
  ibrav = 0, nat = 6, ntyp = 3
/
ATOMIC_SPECIES
Li 6.94 Li.upf
Pm 145.00 Pm.upf
Hg 200.59 Hg.upf
ATOMIC_POSITIONS crystal
Li 0.248 0.000 0.248
Li 0.752 0.000 0.752
Pm 0.171 0.671 0.500
Pm 0.829 0.329 0.500
Hg 0.360 0.860 0.500
Hg 0.640 0.140 0.500
CELL_PARAMETERS angstrom
-1.707 2.671 8.704
1.707 -2.671 8.704
1.707 2.671 -8.704
```

Calculated values
- Polymorph energy (0 for the lowest one): 0.44 eV/f.u.
- Energy relative to the elements: -0.20 eV/atom
- DOS(E_F): 4.532 states/eV per cell

***

This record from the Alexandria database describes a relaxed structure of Li4PmHg8. The functional is GGA-PBE. Values from VASP.

Geometry as Quantum ESPRESSO input:
```
&SYSTEM
  ibrav = 0, nat = 13, ntyp = 3
/
ATOMIC_SPECIES
Li 6.94 Li.upf
Pm 145.00 Pm.upf
Hg 200.59 Hg.upf
ATOMIC_POSITIONS crystal
Li 0.000 0.000 0.500
Li 0.000 0.500 0.000
Li 0.500 0.000 0.000
Li 0.500 0.500 0.500
Pm 0.000 0.000 0.000
Hg 0.000 0.336 0.336
Hg 0.000 0.664 0.664
Hg 0.286 0.500 0.786
Hg 0.336 0.000 0.336
Hg 0.500 0.286 0.786
Hg 0.500 0.714 0.214
Hg 0.664 0.000 0.664
Hg 0.714 0.500 0.214
CELL_PARAMETERS angstrom
-4.926 4.926 2.795
4.926 -4.926 2.795
4.926 4.926 -2.795
```

Calculated values
- Energy relative to the elements: -0.29 eV/atom
- DOS(E_F): 6.146 states/eV per cell

***

This record from the Alexandria database describes a relaxed structure of Li5Pm4Hg6. The functional is GGA-PBE. Values from VASP.

Geometry as Quantum ESPRESSO input:
```
&SYSTEM
  ibrav = 0, nat = 30, ntyp = 3
/
ATOMIC_SPECIES
Li 6.94 Li.upf
Pm 145.00 Pm.upf
Hg 200.59 Hg.upf
ATOMIC_POSITIONS crystal
Li 0.040 0.960 0.500
Li 0.146 0.854 0.808
Li 0.172 0.828 0.106
Li 0.189 0.811 0.451
Li 0.322 0.678 0.460
Li 0.678 0.322 0.960
Li 0.811 0.189 0.951
Li 0.828 0.172 0.606
Li 0.854 0.146 0.308
Li 0.960 0.040 0.000
Pm 0.321 0.679 0.779
Pm 0.357 0.643 0.124
Pm 0.452 0.548 0.614
Pm 0.470 0.530 0.342
Pm 0.530 0.470 0.842
Pm 0.548 0.452 0.114
Pm 0.643 0.357 0.624
Pm 0.679 0.321 0.279
Hg 0.049 0.951 0.686
Hg 0.076 0.924 0.269
Hg 0.089 0.911 0.969
Hg 0.246 0.754 0.611
Hg 0.278 0.722 0.293
Hg 0.403 0.597 0.933
Hg 0.597 0.403 0.433
Hg 0.722 0.278 0.793
Hg 0.754 0.246 0.111
Hg 0.911 0.089 0.469
Hg 0.924 0.076 0.769
Hg 0.951 0.049 0.186
CELL_PARAMETERS angstrom
2.067 -11.625 0.000
2.067 11.625 0.000
0.000 0.000 15.510
```

Calculated values
- Energy relative to the elements: -0.32 eV/atom
- DOS(E_F): 24.863 states/eV per cell

***

Which value of DOS(E_F) does entry 5 give?
5.288 states/eV per cell

***

What is the formula in the third record?
Li4Pm3Hg4

***

Which of these has the highest energy relative to the elements?
number 5

***

What did the tenth record say?
This record from the Alexandria database describes a relaxed structure of LiPmHg. The functional is GGA-PBE. Values from VASP.

Geometry as Quantum ESPRESSO input:
```
&SYSTEM
  ibrav = 0, nat = 6, ntyp = 3
/
ATOMIC_SPECIES
Li 6.94 Li.upf
Pm 145.00 Pm.upf
Hg 200.59 Hg.upf
ATOMIC_POSITIONS crystal
Li 0.248 0.000 0.248
Li 0.752 0.000 0.752
Pm 0.171 0.671 0.500
Pm 0.829 0.329 0.500
Hg 0.360 0.860 0.500
Hg 0.640 0.140 0.500
CELL_PARAMETERS angstrom
-1.707 2.671 8.704
1.707 -2.671 8.704
1.707 2.671 -8.704
```

Calculated values
- Polymorph energy (0 for the lowest one): 0.44 eV/f.u.
- Energy relative to the elements: -0.20 eV/atom
- DOS(E_F): 4.532 states/eV per cell